Record 1
Crystalline YSc2Ga9 at its relaxed geometry, computed with PBE.

Calculated values
Raw total energy in eV per atom: -4.376
ΔE_f in eV per formula unit: -6.1

Structure (POSCAR):
```
YSc2Ga9
1.0
-3.900 -0.297 -1.455
1.464 -1.467 -3.623
-0.760 -11.674 4.422
Ga Sc Y
9 2 1
direct
0.000 0.500 0.500
0.500 0.000 0.500
0.500 0.000 0.175
0.500 0.000 0.825
0.500 0.500 0.665
0.000 0.500 0.175
0.500 0.500 0.000
0.500 0.500 0.335
0.000 0.500 0.825
0.000 0.000 0.338
0.000 0.000 0.662
0.000 0.000 0.000
```

Record 2
Crystalline CaCo3Cu at its relaxed geometry, computed with PBE.

Calculated values
Raw total energy in eV per atom: -4.650
ΔE_f in eV per formula unit: 4.2
E above lowest polymorph in meV per atom: 0

Structure (POSCAR):
```
CaCo3Cu
1.0
-0.603 -4.073 1.706
-0.195 -1.696 -4.117
4.411 -0.632 0.052
Cu Co Ca
1 3 1
direct
0.000 0.000 0.000
0.000 0.000 0.500
0.000 0.500 0.000
0.500 0.000 0.000
0.500 0.500 0.500
```

Record 3
Crystalline SrPuIr at its relaxed geometry, computed with PBE.

Calculated values
Raw total energy in eV per atom: -8.454
ΔE_f in eV per formula unit: -0.5
E above lowest polymorph in meV per atom: 0

Structure (POSCAR):
```
SrPuIr
1.0
-2.674 1.737 -1.815
1.388 -1.188 -3.182
-2.848 -5.284 2.847
Sr Pu Ir
1 1 1
direct
0.015 0.015 0.031
0.284 0.284 0.568
0.701 0.701 0.401
```

no.,N(E_F) (states/eV per atom)
1,0.2776
2,2.2444
3,2.4105